[1]
The following is a GGA-PBE calculation of a relaxed Cr2InRu crystal, from the Alexandria database.

Cell lengths 2.7744, 2.7744, 7.6003 Å; angles 90.00, 90.00, 90.00 degrees
Fractional coordinates of all 4 atoms:
Cr: 0.0000 0.0000 0.2212
Cr: 0.0000 0.0000 0.7788
In: 0.5000 0.5000 0.5000
Ru: 0.5000 0.5000 0.0000

Computed properties:
* size of the total moment: 0.000 μB/atom
* calculated formation energy: 0.338 eV/atom
* uncorrected energy: -29.9 eV/f.u.
* ΔE to the lowest computed polymorph: 134 meV/atom

***

[2]
The following is a GGA-PBE calculation of a relaxed CrIn2SbRu crystal, from the Alexandria database.

Cell lengths 5.0388, 5.0388, 4.8613 Å; angles 90.00, 90.00, 90.00 degrees
Fractional coordinates of all 5 atoms:
Cr: 0.0000 0.0000 0.0000
In: 0.0000 0.5000 0.0000
In: 0.5000 0.0000 0.0000
Sb: 0.0000 0.0000 0.5000
Ru: 0.5000 0.5000 0.5000

Computed properties:
* formation energy (no corrections): 1.017 eV per atom
* size of the total moment: 0.768 μB/atom
* uncorrected energy: -23.4 eV/f.u.

***

[3]
The following is a GGA-PBE calculation of a relaxed ScCrInRu crystal, from the Alexandria database.

Cell lengths 4.6013, 4.6013, 4.6013 Å; angles 60.00, 60.00, 60.00 degrees
Fractional coordinates of all 4 atoms:
Sc: 0.0000 0.0000 0.0000
Cr: 0.2500 0.2500 0.2500
In: 0.5000 0.5000 0.5000
Ru: 0.7500 0.7500 0.7500

Computed properties:
* size of the total moment: 0.871 μB/atom
* calculated formation energy: -0.113 eV/atom
* uncorrected energy: -28.4 eV/f.u.

***

[4]
The following is a GGA-PBE calculation of a relaxed TaCrInRu crystal, from the Alexandria database.

Cell lengths 4.4998, 4.4998, 4.4998 Å; angles 60.00, 60.00, 60.00 degrees
Fractional coordinates of all 4 atoms:
Ta: 0.0000 0.0000 0.0000
Cr: 0.7500 0.7500 0.7500
In: 0.5000 0.5000 0.5000
Ru: 0.2500 0.2500 0.2500

Computed properties:
* size of the total moment: 0.492 μB/atom
* calculated formation energy: -0.010 eV/atom
* uncorrected energy: -33.5 eV/f.u.

***

[5]
The following is a GGA-PBE calculation of a relaxed TiCrIn2Ru crystal, from the Alexandria database.

Cell lengths 5.1385, 5.1385, 4.5692 Å; angles 90.00, 90.00, 90.00 degrees
Fractional coordinates of all 5 atoms:
Ti: 0.0000 0.0000 0.0000
Cr: 0.5000 0.5000 0.0000
In: 0.0000 0.5000 0.5000
In: 0.5000 0.0000 0.5000
Ru: 0.0000 0.0000 0.5000

Computed properties:
* size of the total moment: 0.869 μB/atom
* calculated formation energy: 0.561 eV/atom
* uncorrected energy: -29.5 eV/f.u.

***

[6]
The following is a GGA-PBE calculation of a relaxed ZnCrInRu2 crystal, from the Alexandria database.

Cell lengths 4.4224, 4.4224, 4.6460 Å; angles 90.00, 90.00, 90.00 degrees
Fractional coordinates of all 5 atoms:
Zn: 0.0000 0.0000 0.0000
Cr: 0.0000 0.0000 0.5000
In: 0.5000 0.5000 0.0000
Ru: 0.0000 0.5000 0.5000
Ru: 0.5000 0.0000 0.5000

Computed properties:
* size of the total moment: 0.000 μB/atom
* calculated formation energy: 0.870 eV/atom
* uncorrected energy: -27.8 eV/f.u.
* ΔE to the lowest computed polymorph: 0 meV/atom

***

[7]
The following is a GGA-PBE calculation of a relaxed CrIn2S crystal, from the Alexandria database.

Cell lengths 6.2923, 6.2923, 6.2923 Å; angles 102.48, 102.48, 124.61 degrees
Fractional coordinates of all 8 atoms:
Cr: 0.0000 0.0000 0.0000
Cr: 0.7500 0.2500 0.5000
In: 0.1433 0.6250 0.0183
In: 0.3750 0.3933 0.5183
In: 0.6067 0.1250 0.9817
In: 0.8750 0.8567 0.4817
S: 0.2500 0.7500 0.5000
S: 0.5000 0.5000 0.0000

Computed properties:
* formation energy (no corrections): 0.208 eV per atom
* size of the total moment: 1.112 μB/atom
* uncorrected energy: -18.4 eV/f.u.

***

[8]
The following is a GGA-PBE calculation of a relaxed CrIn3S crystal, from the Alexandria database.

Cell lengths 5.2379, 5.2379, 5.2379 Å; angles 90.00, 90.00, 90.00 degrees
Fractional coordinates of all 5 atoms:
Cr: 0.0000 0.0000 0.0000
In: 0.0000 0.0000 0.5000
In: 0.0000 0.5000 0.0000
In: 0.5000 0.0000 0.0000
S: 0.5000 0.5000 0.5000

Computed properties:
* formation energy (no corrections): 0.486 eV per atom
* size of the total moment: 0.993 μB/atom
* uncorrected energy: -19.5 eV/f.u.
* ΔE to the lowest computed polymorph: 0 meV/atom

***

[9]
The following is a GGA-PBE calculation of a relaxed CrInS2 crystal, from the Alexandria database.

Cell lengths 6.2878, 6.2878, 6.2878 Å; angles 113.36, 113.36, 101.95 degrees
Fractional coordinates of all 8 atoms:
Cr: 0.0000 0.0000 0.0000
Cr: 0.7500 0.2500 0.5000
In: 0.2500 0.7500 0.5000
In: 0.5000 0.5000 0.0000
S: 0.0328 0.6250 0.9078
S: 0.3750 0.2828 0.4078
S: 0.7172 0.1250 0.0922
S: 0.8750 0.9672 0.5922

Computed properties:
* formation energy (no corrections): -0.368 eV per atom
* size of the total moment: 0.750 μB/atom
* uncorrected energy: -22.1 eV/f.u.

***

[10]
The following is a GGA-PBE calculation of a relaxed Cr4InS8 crystal, from the Alexandria database.

Cell lengths 6.8082, 6.8082, 6.8082 Å; angles 60.00, 60.00, 60.00 degrees
Fractional coordinates of all 13 atoms:
Cr: 0.3985 0.3985 0.3985
Cr: 0.3985 0.3985 0.8046
Cr: 0.3985 0.8046 0.3985
Cr: 0.8046 0.3985 0.3985
In: 0.0000 0.0000 0.0000
S: 0.1178 0.6274 0.6274
S: 0.1441 0.1441 0.1441
S: 0.1441 0.1441 0.5676
S: 0.1441 0.5676 0.1441
S: 0.5676 0.1441 0.1441
S: 0.6274 0.1178 0.6274
S: 0.6274 0.6274 0.1178
S: 0.6274 0.6274 0.6274

Computed properties:
* formation energy (no corrections): -0.608 eV per atom
* size of the total moment: 0.087 μB/atom
* uncorrected energy: -82.2 eV/f.u.

***

[11]
The following is a GGA-PBE calculation of a relaxed CrInS3 crystal, from the Alexandria database.

Cell lengths 4.5666, 4.5666, 4.5666 Å; angles 90.00, 90.00, 90.00 degrees
Fractional coordinates of all 5 atoms:
Cr: 0.0000 0.0000 0.0000
In: 0.5000 0.5000 0.5000
S: 0.0000 0.0000 0.5000
S: 0.0000 0.5000 0.0000
S: 0.5000 0.0000 0.0000

Computed properties:
* formation energy (no corrections): -0.041 eV per atom
* size of the total moment: 0.000 μB/atom
* uncorrected energy: -25.0 eV/f.u.
* ΔE to the lowest computed polymorph: 519 meV/atom

***

[12]
The following is a GGA-PBE calculation of a relaxed CrInS3 crystal, from the Alexandria database.

Cell lengths 6.4596, 3.7187, 9.7215 Å; angles 90.00, 98.99, 90.00 degrees
Fractional coordinates of all 10 atoms:
Cr: 0.0356 0.2500 0.1604
Cr: 0.9644 0.7500 0.8396
In: 0.4858 0.2500 0.7324
In: 0.5142 0.7500 0.2676
S: 0.1104 0.2500 0.7257
S: 0.2056 0.7500 0.0544
S: 0.3215 0.2500 0.3584
S: 0.6785 0.7500 0.6416
S: 0.7944 0.2500 0.9456
S: 0.8896 0.7500 0.2743

Computed properties:
* formation energy (no corrections): -0.555 eV per atom
* size of the total moment: 0.600 μB/atom
* uncorrected energy: -27.5 eV/f.u.
* ΔE to the lowest computed polymorph: 5 meV/atom

***

Please write out number 5 again, unchanged.
The following is a GGA-PBE calculation of a relaxed TiCrIn2Ru crystal, from the Alexandria database.

Cell lengths 5.1385, 5.1385, 4.5692 Å; angles 90.00, 90.00, 90.00 degrees
Fractional coordinates of all 5 atoms:
Ti: 0.0000 0.0000 0.0000
Cr: 0.5000 0.5000 0.0000
In: 0.0000 0.5000 0.5000
In: 0.5000 0.0000 0.5000
Ru: 0.0000 0.0000 0.5000

Computed properties:
* size of the total moment: 0.869 μB/atom
* calculated formation energy: 0.561 eV/atom
* uncorrected energy: -29.5 eV/f.u.